Entry 1:
Below is a relaxed structure of Zr2BeAs, with properties calculated at the PBE-GGA level.

Summary:
* crystal system: tetragonal
* Fermi-level density of states: 2.7 states/eV/f.u.
* distance to the lowest polymorph of the same formula: 305 meV per atom
* spin magnetization: 0.0 μB per cell
* formation energy: -0.488 eV/atom
* V: 19.02 Å³/atom

Lattice parameters (Å, degrees): 3.7825 3.7825 5.3171 90.00 90.00 90.00
Last column: nearest neighbours and their distance in Å.
Space group P4/mmm (No. 123)
One atom of each set of equivalent atoms:
Zr: 0.0000 0.0000 0.0000 (multiplicity 1)  2 Be 2.66, 4 As 2.67
Zr: 0.5000 0.5000 0.5000 (multiplicity 1)  2 As 2.66, 4 Be 2.67
Be: 0.0000 0.0000 0.5000 (multiplicity 1)  6 Zr 2.66-2.67
As: 0.5000 0.5000 0.0000 (multiplicity 1)  6 Zr 2.66-2.67

Entry 2:
Below is a relaxed structure of Si2BAsPd, with properties calculated at the PBE-GGA level.

Summary:
* crystal system: tetragonal
* Fermi-level density of states: 2.0 states/eV/f.u.
* raw formation energy: 0.481 eV/atom
* distance to the lowest polymorph of the same formula: 0 meV per atom
* spin magnetization: 0.0 μB per cell
* V: 14.94 Å³/atom

Lattice parameters (Å, degrees): 4.1069 4.1069 4.4294 90.00 90.00 90.00
Last column: nearest neighbours and their distance in Å.
Space group P4/mmm (No. 123)
One atom of each set of equivalent atoms:
Si: 0.0000 0.5000 0.0000 (multiplicity 2)  2 B 2.05
B: 0.0000 0.0000 0.0000 (multiplicity 1)  4 Si 2.05, 2 Pd 2.21
As: 0.5000 0.5000 0.5000 (multiplicity 1)  4 Pd 2.90, 8 Si 3.02
Pd: 0.0000 0.0000 0.5000 (multiplicity 1)  2 B 2.21

Entry 3:
Below is a relaxed structure of Sr2HgGeIr, with properties calculated at the PBE-GGA level.

Summary:
* crystal system: tetragonal
* Fermi-level density of states: 1.1 states/eV/f.u.
* spin magnetization: 0.0 μB per cell
* formation energy: -0.419 eV/atom
* V: 32.64 Å³/atom

Lattice parameters (Å, degrees): 5.8892 5.8892 4.7050 90.00 90.00 90.00
Last column: nearest neighbours and their distance in Å.
Space group P4/mmm (No. 123)
One atom of each set of equivalent atoms:
Sr: 0.0000 0.5000 0.0000 (multiplicity 2)  2 Ir 2.94
Hg: 0.0000 0.0000 0.5000 (multiplicity 1)  8 Sr 3.77, 4 Ge 4.16
Ge: 0.5000 0.5000 0.5000 (multiplicity 1)  2 Ir 2.35
Ir: 0.5000 0.5000 0.0000 (multiplicity 1)  2 Ge 2.35